Below is Ta2CuIr after structural relaxation, with properties calculated at the GGA-PBE level.

Values from the calculation:
Total magnetic moment in μB per cell: 0.00
ΔH_f (0 K) in kcal/mol of atoms: -5.59

abc: 2.8381 4.5647 4.8765
angles: 90.00 93.59 90.00
With the nearest neighbours (Å) after each atom.
Fractional positions:
1 Ta 0.0000 0.0000 0.0000  4 Cu 2.71-2.84, 3 Ir 2.74-2.76, 4 Ta 2.84-2.94
2 Ta 0.1275 0.5000 0.6322  3 Cu 2.70-2.80, 4 Ir 2.71-2.86, 4 Ta 2.84-2.94
3 Cu 0.5624 0.5000 0.1402  7 Ta 2.70-2.84, 2 Ir 2.83, 2 Cu 2.84
4 Ir 0.5573 0.0000 0.4839  7 Ta 2.71-2.86, 2 Cu 2.83, 2 Ir 2.84